Record 1
Density functional theory data (PBE) for a relaxed ZrSc2Pd3 crystal.

Results
* distance to the lowest polymorph of the same formula: 0 kJ/mol of formula units
* volume: 18.4 Å³/atom
* raw total energy: -6.92 eV/atom

a b c (Å): 7.581 7.581 3.199
angles (deg): 90.00 90.00 143.10
Element x y z (fractional)
Zr  0.000  0.000  0.000
Sc  0.333  0.667  0.000
Sc  0.667  0.333  0.000
Pd  0.169  0.831  0.500
Pd  0.500  0.500  0.500
Pd  0.831  0.169  0.500



Record 2
Density functional theory data (PBE) for a relaxed ZrSc2Pd3 crystal.

Results
* distance to the lowest polymorph of the same formula: 3 kJ/mol of formula units
* volume: 18.3 Å³/atom
* raw total energy: -6.91 eV/atom

a b c (Å): 3.223 3.223 10.564
angles (deg): 90.00 90.00 90.00
Element x y z (fractional)
Zr  0.000  0.000  0.000
Sc  0.000  0.000  0.337
Sc  0.000  0.000  0.663
Pd  0.500  0.500  0.181
Pd  0.500  0.500  0.500
Pd  0.500  0.500  0.819



Record 3
Density functional theory data (PBE) for a relaxed ZrScPd crystal.

Results
* distance to the lowest polymorph of the same formula: 15 kJ/mol of formula units
* volume: 20.1 Å³/atom
* raw total energy: -7.19 eV/atom

a b c (Å): 5.890 5.890 6.712
angles (deg): 106.28 106.28 32.87
Element x y z (fractional)
Zr  0.157  0.157  0.077
Zr  0.843  0.843  0.923
Sc  0.150  0.150  0.578
Sc  0.850  0.850  0.422
Pd  0.497  0.497  0.248
Pd  0.503  0.503  0.752



Record 4
Density functional theory data (PBE) for a relaxed Zr2ScPd5 crystal.

Results
* volume: 17.7 Å³/atom
* raw total energy: -6.90 eV/atom

a b c (Å): 5.655 10.711 4.676
angles (deg): 90.00 90.00 90.00
Element x y z (fractional)
Zr  0.151  0.148  0.000
Zr  0.349  0.648  0.000
Zr  0.651  0.352  0.000
Zr  0.849  0.852  0.000
Sc  0.000  0.500  0.500
Sc  0.500  0.000  0.500
Pd  0.000  0.000  0.500
Pd  0.168  0.403  0.000
Pd  0.175  0.756  0.500
Pd  0.325  0.256  0.500
Pd  0.332  0.903  0.000
Pd  0.500  0.500  0.500
Pd  0.668  0.097  0.000
Pd  0.675  0.744  0.500
Pd  0.825  0.244  0.500
Pd  0.832  0.597  0.000